# TbGd2Co2B2N3

An optimized crystal structure of TbGd2Co2B2N3 (PBE-GGA, OQMD via LeMat-Bulk).

Values from the calculation:
Calculated density (g/cm3): 8.89
V (Å³ per cell): 122.31
Electronic total energy (eV per atom): -7.836

Cell: 10.248 10.248 10.248 Å, 160.30 160.30 28.01°
Sites, in units of the cell vectors:
Co (0.750, 0.250, 0.500)
Co (0.250, 0.750, 0.500)
N (0.500, 0.500, 0.000)
N (0.119, 0.119, 0.000)
N (0.881, 0.881, 0.000)
Tb (0.000, 0.000, 0.000)
B (0.194, 0.194, 0.000)
B (0.806, 0.806, 0.000)
Gd (0.625, 0.625, 0.000)
Gd (0.375, 0.375, 0.000)


# In2CoCu5

An optimized crystal structure of In2CoCu5 (PBE-GGA, OQMD via LeMat-Bulk).

Values from the calculation:
Calculated density (g/cm3): 9.13
V (Å³ per cell): 110.21
Polymorph energy (0 for the lowest one) (eV/f.u.): 0.00

Cell: 4.254 4.254 6.089 Å, 90.00 90.00 90.00°
Sites, in units of the cell vectors:
Cu (0.000, 0.500, 0.748)
Cu (0.500, 0.000, 0.748)
Cu (0.500, 0.500, 0.000)
Cu (0.000, 0.500, 0.252)
Cu (0.500, 0.000, 0.252)
In (0.000, 0.000, 0.000)
In (0.500, 0.500, 0.500)
Co (0.000, 0.000, 0.500)


# Sc4SiAuC2

An optimized crystal structure of Sc4SiAuC2 (PBE-GGA, OQMD via LeMat-Bulk).

Values from the calculation:
Calculated density (g/cm3): 5.35
V (Å³ per cell): 133.12
Electronic total energy (eV per atom): -7.136

Cell: 3.357 3.357 13.641 Å, 90.00 90.00 120.00°
Sites, in units of the cell vectors:
Si (0.333, 0.667, 0.000)
Sc (0.000, 0.000, 0.158)
Sc (0.333, 0.667, 0.337)
Sc (0.333, 0.667, 0.663)
Sc (0.000, 0.000, 0.843)
Au (0.000, 0.000, 0.500)
C (0.667, 0.333, 0.252)
C (0.667, 0.333, 0.748)


# BaErTe3Au

An optimized crystal structure of BaErTe3Au (PBE-GGA, OQMD via LeMat-Bulk).

Values from the calculation:
Calculated density (g/cm3): 7.51
V (Å³ per cell): 391.13
Electronic total energy (eV per atom): -4.406

Cell: 8.632 4.409 10.774 Å, 90.00 107.49 90.00°
Sites, in units of the cell vectors:
Au (0.912, 0.750, 0.395)
Au (0.088, 0.250, 0.605)
Te (0.934, 0.750, 0.143)
Te (0.729, 0.250, 0.449)
Te (0.562, 0.250, 0.862)
Te (0.066, 0.250, 0.857)
Te (0.438, 0.750, 0.138)
Te (0.271, 0.750, 0.551)
Er (0.694, 0.250, 0.161)
Er (0.306, 0.750, 0.839)
Ba (0.754, 0.750, 0.706)
Ba (0.246, 0.250, 0.294)


Q: Look up the calculated density of the first one.
A: 8.89 g/cm3